A geometry-optimized BaSrHg2 structure, computed with PBEsol.

Values from the calculation:
VASP energy in eV for the cell shown: -7.4
Energy relative to the elements in eV per atom: -0.566
Space-group type: No. 123

a = 4.004 Å, b = 4.004 Å, c = 8.019 Å
α = 90.00°, β = 90.00°, γ = 90.00°
Sites, in units of the cell vectors:
Ba 0.000 0.000 0.000
Sr 0.000 0.000 0.500
Hg 0.500 0.500 0.266
Hg 0.500 0.500 0.734

---

A geometry-optimized VH2 structure, computed with PBEsol.

Values from the calculation:
VASP energy in eV for the cell shown: -17.1
Space-group type: No. 225

a = 2.935 Å, b = 2.935 Å, c = 2.935 Å
α = 60.00°, β = 60.00°, γ = 60.00°
Sites, in units of the cell vectors:
V 0.000 0.000 0.000
H 0.250 0.250 0.250
H 0.750 0.750 0.750

---

A geometry-optimized BaGd2S4 structure, computed with PBEsol.

Values from the calculation:
VASP energy in eV for the cell shown: -255.1
Space-group type: No. 62
E_form (uncorrected) in meV per atom: -2169

a = 12.076 Å, b = 4.054 Å, c = 14.474 Å
α = 90.00°, β = 90.00°, γ = 90.00°
Sites, in units of the cell vectors:
Ba 0.246 0.250 0.160
Ba 0.254 0.750 0.660
Ba 0.746 0.250 0.340
Ba 0.754 0.750 0.840
Gd 0.075 0.250 0.393
Gd 0.076 0.250 0.897
Gd 0.424 0.750 0.397
Gd 0.425 0.750 0.893
Gd 0.575 0.250 0.107
Gd 0.576 0.250 0.603
Gd 0.924 0.750 0.103
Gd 0.925 0.750 0.607
S 0.018 0.750 0.782
S 0.077 0.250 0.580
S 0.129 0.750 0.021
S 0.211 0.750 0.330
S 0.289 0.250 0.830
S 0.371 0.250 0.521
S 0.423 0.750 0.080
S 0.482 0.250 0.282
S 0.518 0.750 0.718
S 0.577 0.250 0.920
S 0.629 0.750 0.479
S 0.711 0.750 0.170
S 0.789 0.250 0.670
S 0.871 0.250 0.979
S 0.923 0.750 0.420
S 0.982 0.250 0.218

---

A geometry-optimized Mg5Rh2 structure, computed with PBEsol.

Values from the calculation:
VASP energy in eV for the cell shown: -108.6
Energy relative to the elements in eV per atom: -0.328
Space-group type: No. 194

a = 8.483 Å, b = 8.483 Å, c = 8.064 Å
α = 90.00°, β = 90.00°, γ = 120.00°
Sites, in units of the cell vectors:
Mg 0.000 0.000 0.000
Mg 0.000 0.000 0.500
Mg 0.080 0.540 0.250
Mg 0.192 0.384 0.563
Mg 0.192 0.384 0.937
Mg 0.192 0.808 0.563
Mg 0.192 0.808 0.937
Mg 0.384 0.192 0.063
Mg 0.384 0.192 0.437
Mg 0.460 0.540 0.250
Mg 0.460 0.920 0.250
Mg 0.540 0.080 0.750
Mg 0.540 0.460 0.750
Mg 0.616 0.808 0.563
Mg 0.616 0.808 0.937
Mg 0.808 0.192 0.063
Mg 0.808 0.192 0.437
Mg 0.808 0.616 0.063
Mg 0.808 0.616 0.437
Mg 0.920 0.460 0.750
Rh 0.120 0.239 0.250
Rh 0.120 0.880 0.250
Rh 0.239 0.120 0.750
Rh 0.333 0.667 0.750
Rh 0.667 0.333 0.250
Rh 0.761 0.880 0.250
Rh 0.880 0.120 0.750
Rh 0.880 0.761 0.750

---

A geometry-optimized SrFeSi2 structure, computed with PBEsol.

Values from the calculation:
VASP energy in eV for the cell shown: -20.2
Space-group type: No. 216
E_form (uncorrected) in meV per atom: 512

a = 4.612 Å, b = 4.612 Å, c = 4.612 Å
α = 60.00°, β = 60.00°, γ = 60.00°
Sites, in units of the cell vectors:
Sr 0.000 0.000 0.000
Fe 0.250 0.250 0.250
Si 0.500 0.500 0.500
Si 0.750 0.750 0.750

---

A geometry-optimized KMnPd2 structure, computed with PBEsol.

Values from the calculation:
VASP energy in eV for the cell shown: -20.8
Energy relative to the elements in eV per atom: 0.501
Space-group type: No. 225

a = 4.658 Å, b = 4.658 Å, c = 4.658 Å
α = 60.00°, β = 60.00°, γ = 60.00°
Sites, in units of the cell vectors:
K 0.000 0.000 0.000
Mn 0.500 0.500 0.500
Pd 0.250 0.250 0.250
Pd 0.750 0.750 0.750

---

A geometry-optimized RbCrTe3 structure, computed with PBEsol.

Values from the calculation:
VASP energy in eV for the cell shown: -22.6
Space-group type: No. 221
E_form (uncorrected) in meV per atom: -152

a = 5.331 Å, b = 5.331 Å, c = 5.331 Å
α = 90.00°, β = 90.00°, γ = 90.00°
Sites, in units of the cell vectors:
Rb 0.000 0.000 0.000
Cr 0.500 0.500 0.500
Te 0.000 0.500 0.500
Te 0.500 0.000 0.500
Te 0.500 0.500 0.000

---

A geometry-optimized Na3Ag structure, computed with PBEsol.

Values from the calculation:
VASP energy in eV for the cell shown: -7.3
Energy relative to the elements in eV per atom: 0.059
Space-group type: No. 139

a = 5.244 Å, b = 5.244 Å, c = 5.244 Å
α = 119.61°, β = 119.61°, γ = 90.67°
Sites, in units of the cell vectors:
Na 0.000 0.000 0.000
Na 0.250 0.750 0.500
Na 0.750 0.250 0.500
Ag 0.500 0.500 0.000

---

A geometry-optimized Li5Co3Sn2O10 structure, computed with PBEsol.

Values from the calculation:
VASP energy in eV for the cell shown: -124.3
Space-group type: No. 2
E_form (uncorrected) in meV per atom: -1514

a = 5.127 Å, b = 5.149 Å, c = 7.946 Å
α = 106.53°, β = 103.32°, γ = 101.00°
Sites, in units of the cell vectors:
Li 0.000 0.000 0.000
Li 0.071 0.208 0.701
Li 0.281 0.582 0.098
Li 0.719 0.418 0.902
Li 0.929 0.792 0.299
Co 0.234 0.406 0.407
Co 0.500 0.000 0.500
Co 0.766 0.594 0.593
Sn 0.385 0.799 0.802
Sn 0.615 0.201 0.198
O 0.028 0.604 0.832
O 0.173 0.800 0.545
O 0.281 0.015 0.274
O 0.357 0.191 0.953
O 0.436 0.409 0.656
O 0.564 0.591 0.344
O 0.643 0.809 0.047
O 0.719 0.985 0.726
O 0.827 0.200 0.455
O 0.972 0.396 0.168

---

A geometry-optimized MgTc4Br structure, computed with PBEsol.

Values from the calculation:
VASP energy in eV for the cell shown: -44.2
Space-group type: No. 216
E_form (uncorrected) in meV per atom: 744

a = 5.164 Å, b = 5.164 Å, c = 5.164 Å
α = 60.00°, β = 60.00°, γ = 60.00°
Sites, in units of the cell vectors:
Mg 0.000 0.000 0.000
Tc 0.129 0.624 0.624
Tc 0.624 0.129 0.624
Tc 0.624 0.624 0.129
Tc 0.624 0.624 0.624
Br 0.250 0.250 0.250

---

A geometry-optimized MgPt2Rh structure, computed with PBEsol.

Values from the calculation:
VASP energy in eV for the cell shown: -25.4
Energy relative to the elements in eV per atom: -0.413
Space-group type: No. 25

a = 2.777 Å, b = 4.525 Å, c = 4.692 Å
α = 90.00°, β = 90.00°, γ = 90.00°
Sites, in units of the cell vectors:
Mg 0.000 0.000 0.000
Pt 0.500 0.000 0.493
Pt 0.500 0.500 0.873
Rh 0.000 0.500 0.382

---

A geometry-optimized BaInBr structure, computed with PBEsol.

Values from the calculation:
VASP energy in eV for the cell shown: -9.1
Space-group type: No. 216
E_form (uncorrected) in meV per atom: -712

a = 5.371 Å, b = 5.371 Å, c = 5.371 Å
α = 60.00°, β = 60.00°, γ = 60.00°
Sites, in units of the cell vectors:
Ba 0.000 0.000 0.000
In 0.500 0.500 0.500
Br 0.750 0.750 0.750

---

Which formula does entry 7 have?
RbCrTe3